1.
# HfH2S

A relaxed structure of HfH2S (PBE, Alexandria).

Lattice parameters (Å, degrees): 3.302 3.302 4.825 69.99 69.99 60.00
Positions (direct):
Hf (0.000, 0.000, 0.000)
H (0.858, 0.858, 0.426)
H (0.142, 0.142, 0.574)
S (0.500, 0.500, 0.500)

Output
Magnetization ... 0.0 μB/f.u.
Calculated volume ... 10.47 Å³ per atom
Total DFT energy (no corrections) ... -19.41 eV per cell
Calculated density ... 8.4 Mg/m³

2.
# HfScH2S

A relaxed structure of HfScH2S (PBE, Alexandria).

Lattice parameters (Å, degrees): 4.061 4.861 4.061 90.00 90.00 90.00
Positions (direct):
S (0.000, 0.000, 0.000)
Sc (0.000, 0.500, 0.000)
Hf (0.500, 0.500, 0.500)
H (0.500, 0.000, 0.000)
H (0.000, 0.000, 0.500)

Output
Magnetization ... 0.0 μB/f.u.
Calculated volume ... 16.03 Å³ per atom
Total DFT energy (no corrections) ... -23.00 eV per cell
Calculated density ... 5.3 Mg/m³

3.
# HfHSeS

A relaxed structure of HfHSeS (PBE, Alexandria).

Lattice parameters (Å, degrees): 3.422 3.422 7.310 90.68 103.49 118.44
Positions (direct):
H (0.504, 0.621, 0.124)
Hf (0.825, 0.276, 0.101)
S (0.010, 0.866, 0.876)
Se (0.354, 0.042, 0.396)

Output
Magnetization ... 0.0 μB/f.u.
Calculated volume ... 18.10 Å³ per atom
Total DFT energy (no corrections) ... -24.35 eV per cell
Calculated density ... 6.7 Mg/m³

4.
# Hf2TlHS

A relaxed structure of Hf2TlHS (PBE, Alexandria).

Lattice parameters (Å, degrees): 4.735 5.707 4.735 90.00 90.00 90.00
Positions (direct):
Hf (0.500, 0.000, 0.000)
H (0.500, 0.500, 0.500)
Hf (0.000, 0.000, 0.500)
S (0.000, 0.000, 0.000)
Tl (0.000, 0.500, 0.000)

Output
Magnetization ... 0.0 μB/f.u.
Calculated volume ... 25.59 Å³ per atom
Total DFT energy (no corrections) ... -26.02 eV per cell
Calculated density ... 7.7 Mg/m³